Compound: Ce3PmPr2Sb6
Source: the Alexandria database
Functional: PBE
Structure: relaxed

a b c (Å): 7.825 7.825 7.829
angles (deg): 99.59 99.59 119.99
Fractional positions:
Ce (0.000, 0.000, 0.000)
Ce (0.333, 0.667, 0.000)
Ce (0.667, 0.333, 0.000)
Pm (0.500, 0.500, 0.500)
Pr (0.166, 0.834, 0.500)
Pr (0.834, 0.166, 0.500)
Sb (0.084, 0.416, 0.246)
Sb (0.254, 0.254, 0.755)
Sb (0.416, 0.084, 0.246)
Sb (0.584, 0.916, 0.754)
Sb (0.746, 0.746, 0.245)
Sb (0.916, 0.584, 0.754)

Its total magnetization is 2.33 μB/cell. The value obtained for the formation energy (no corrections) is -1.1209 eV per atom. As for the space group: C2/m.

Compound: CePm2PrSb4
Source: the Alexandria database
Functional: PBE
Structure: relaxed

a b c (Å): 9.029 9.029 9.034
angles (deg): 120.02 120.02 60.00
Fractional positions:
Ce (0.000, 0.000, 0.000)
Ce (0.000, 0.000, 0.500)
Pm (0.000, 0.500, 0.000)
Pm (0.500, 0.000, 0.000)
Pm (0.500, 0.500, 0.000)
Pm (0.500, 0.500, 0.500)
Pr (0.000, 0.500, 0.500)
Pr (0.500, 0.000, 0.500)
Sb (0.248, 0.749, 0.248)
Sb (0.249, 0.249, 0.247)
Sb (0.250, 0.250, 0.752)
Sb (0.251, 0.752, 0.752)
Sb (0.749, 0.248, 0.248)
Sb (0.750, 0.750, 0.248)
Sb (0.751, 0.751, 0.753)
Sb (0.752, 0.251, 0.752)

Its total magnetization is 1.57 μB/cell. The value obtained for the formation energy (no corrections) is -1.1720 eV per atom. As for the space group: C2/m.

Compound: CePmPr2Se4
Source: the Alexandria database
Functional: PBE
Structure: relaxed

a b c (Å): 7.345 4.209 7.345
angles (deg): 90.00 109.15 90.00
Fractional positions:
Ce (0.000, 0.000, 0.000)
Pm (0.500, 0.500, 0.000)
Pr (0.000, 0.500, 0.500)
Pr (0.500, 0.000, 0.500)
Se (0.248, 0.500, 0.244)
Se (0.252, 0.000, 0.756)
Se (0.748, 0.000, 0.244)
Se (0.752, 0.500, 0.756)

Its total magnetization is 0.98 μB/cell. The value obtained for the formation energy (no corrections) is -1.8411 eV per atom. As for the space group: P2/m.

Compound: Ce3PmPr2Se6
Source: the Alexandria database
Functional: PBE
Structure: relaxed

a b c (Å): 7.306 7.306 7.336
angles (deg): 99.56 99.56 120.04
Fractional positions:
Ce (0.000, 0.000, 0.000)
Ce (0.332, 0.668, 0.000)
Ce (0.668, 0.332, 0.000)
Pm (0.500, 0.500, 0.500)
Pr (0.166, 0.834, 0.500)
Pr (0.834, 0.166, 0.500)
Se (0.086, 0.416, 0.248)
Se (0.255, 0.255, 0.754)
Se (0.416, 0.086, 0.248)
Se (0.584, 0.914, 0.752)
Se (0.745, 0.745, 0.246)
Se (0.914, 0.584, 0.752)

Its total magnetization is 2.93 μB/cell. The value obtained for the formation energy (no corrections) is -1.8375 eV per atom. As for the space group: C2/m.

Compound: Ce3PmPr3Se8
Source: the Alexandria database
Functional: PBE
Structure: relaxed

a b c (Å): 8.459 8.459 8.459
angles (deg): 59.92 59.92 59.92
Fractional positions:
Ce (0.000, 0.500, 0.500)
Ce (0.500, 0.000, 0.500)
Ce (0.500, 0.500, 0.000)
Pm (0.000, 0.000, 0.000)
Pr (0.000, 0.000, 0.500)
Pr (0.000, 0.500, 0.000)
Pr (0.500, 0.000, 0.000)
Se (0.250, 0.250, 0.746)
Se (0.250, 0.746, 0.250)
Se (0.251, 0.251, 0.251)
Se (0.254, 0.750, 0.750)
Se (0.746, 0.250, 0.250)
Se (0.749, 0.749, 0.749)
Se (0.750, 0.254, 0.750)
Se (0.750, 0.750, 0.254)

Its total magnetization is 3.44 μB/cell. The value obtained for the formation energy (no corrections) is -1.8654 eV per atom. As for the space group: R-3m.

Compound: Ce2Pm3PrSe6
Source: the Alexandria database
Functional: PBE
Structure: relaxed

a b c (Å): 7.281 7.281 7.315
angles (deg): 99.55 99.55 120.05
Fractional positions:
Ce (0.167, 0.833, 0.000)
Ce (0.833, 0.167, 0.000)
Pm (0.000, 0.000, 0.500)
Pm (0.337, 0.663, 0.500)
Pm (0.663, 0.337, 0.500)
Pr (0.500, 0.500, 0.000)
Se (0.078, 0.416, 0.747)
Se (0.246, 0.246, 0.250)
Se (0.416, 0.078, 0.747)
Se (0.584, 0.922, 0.253)
Se (0.754, 0.754, 0.750)
Se (0.922, 0.584, 0.253)

Its total magnetization is 1.90 μB/cell. The value obtained for the formation energy (no corrections) is -1.8392 eV per atom. As for the space group: C2/m.